[1]
Computed, not measured: a relaxed FeMoP crystal at the PBE level of DFT.

Unit cell a=3.882 b=3.882 c=3.882 alpha=60.00 beta=60.00 gamma=60.00
Fractional positions:
Fe  0.000  0.000  0.000
Mo  0.250  0.250  0.250
P  0.750  0.750  0.750

Density of states at the Fermi level   2.823 states/eV/cell
Energy of formation   -274 meV/atom

[2]
Computed, not measured: a relaxed Mn2InPt crystal at the PBE level of DFT.

Unit cell a=3.220 b=3.220 c=6.210 alpha=90.00 beta=90.00 gamma=90.00
Fractional positions:
Mn  0.000  0.000  0.000
Mn  0.500  0.500  0.199
In  0.500  0.500  0.713
Pt  0.000  0.000  0.429

Density of states at the Fermi level   3.420 states/eV/cell
Energy of formation   -114 meV/atom

[3]
Computed, not measured: a relaxed TbPuP crystal at the PBE level of DFT.

Unit cell a=3.797 b=3.797 c=6.544 alpha=90.00 beta=90.00 gamma=120.00
Fractional positions:
Tb  0.000  0.000  0.000
Pu  0.667  0.333  0.516
P  0.333  0.667  0.258

Density of states at the Fermi level   7.787 states/eV/cell
Energy of formation   -702 meV/atom

[4]
Computed, not measured: a relaxed LiIn3S4 crystal at the PBE level of DFT.

Unit cell a=7.773 b=7.773 c=7.773 alpha=136.40 beta=136.40 gamma=63.36
Fractional positions:
Li  0.000  0.000  0.000
In  0.250  0.750  0.500
In  0.500  0.500  0.000
In  0.750  0.250  0.500
S  0.081  0.081  0.440
S  0.360  0.919  0.000
S  0.640  0.640  0.560
S  0.919  0.360  0.000

Density of states at the Fermi level   0.062 states/eV/cell
E_form (uncorrected)   -57.6 kJ per mole of atoms

[5]
Computed, not measured: a relaxed NaSr2Al2 crystal at the PBE level of DFT.

Unit cell a=9.034 b=9.034 c=4.133 alpha=90.00 beta=90.00 gamma=90.00
Fractional positions:
Na  0.000  0.000  0.000
Na  0.500  0.500  0.000
Sr  0.183  0.317  0.500
Sr  0.317  0.817  0.500
Sr  0.683  0.183  0.500
Sr  0.817  0.683  0.500
Al  0.105  0.605  0.000
Al  0.395  0.105  0.000
Al  0.605  0.895  0.000
Al  0.895  0.395  0.000

Density of states at the Fermi level   9.090 states/eV/cell
Energy of formation   -46 meV/atom

[6]
Computed, not measured: a relaxed PrThCo2 crystal at the PBE level of DFT.

Unit cell a=3.460 b=3.460 c=6.992 alpha=90.00 beta=90.00 gamma=90.00
Fractional positions:
Pr  0.000  0.000  0.000
Th  0.000  0.000  0.500
Co  0.500  0.500  0.293
Co  0.500  0.500  0.707

Density of states at the Fermi level   3.340 states/eV/cell
Energy of formation   -68 meV/atom

[7]
Computed, not measured: a relaxed KAuBr2 crystal at the PBE level of DFT.

Unit cell a=5.306 b=5.306 c=15.189 alpha=90.00 beta=90.00 gamma=120.00
Fractional positions:
K  0.000  0.000  0.000
K  0.000  0.000  0.500
Au  0.333  0.667  0.250
Au  0.667  0.333  0.750
Br  0.333  0.667  0.091
Br  0.333  0.667  0.409
Br  0.667  0.333  0.591
Br  0.667  0.333  0.909

Density of states at the Fermi level   0.000 states/eV/cell
E_form (uncorrected)   -89.7 kJ per mole of atoms

[8]
Computed, not measured: a relaxed Ta2NbRh crystal at the PBE level of DFT.

Unit cell a=4.558 b=4.558 c=3.285 alpha=90.00 beta=90.00 gamma=90.00
Fractional positions:
Ta  0.000  0.500  0.000
Ta  0.500  0.000  0.000
Nb  0.000  0.000  0.500
Rh  0.500  0.500  0.500

Density of states at the Fermi level   3.628 states/eV/cell
Energy of formation   -275 meV/atom

[9]
Computed, not measured: a relaxed HfInSi crystal at the PBE level of DFT.

Unit cell a=3.513 b=3.513 c=9.972 alpha=90.00 beta=90.00 gamma=90.00
Fractional positions:
Hf  0.250  0.250  0.212
Hf  0.750  0.750  0.788
In  0.250  0.250  0.604
In  0.750  0.750  0.396
Si  0.250  0.750  0.000
Si  0.750  0.250  0.000

Density of states at the Fermi level   5.795 states/eV/cell
E_form (uncorrected)   -19.0 kJ per mole of atoms

[10]
Computed, not measured: a relaxed KZn2Rh crystal at the PBE level of DFT.

Unit cell a=4.762 b=4.762 c=4.762 alpha=60.00 beta=60.00 gamma=60.00
Fractional positions:
K  0.000  0.000  0.000
Zn  0.250  0.250  0.250
Zn  0.500  0.500  0.500
Rh  0.750  0.750  0.750

Density of states at the Fermi level   1.767 states/eV/cell
Energy of formation   489 meV/atom

[11]
Computed, not measured: a relaxed CoPbSeBr2 crystal at the PBE level of DFT.

Unit cell a=4.995 b=4.995 c=4.930 alpha=90.00 beta=90.00 gamma=90.00
Fractional positions:
Co  0.000  0.000  0.000
Pb  0.500  0.500  0.500
Se  0.000  0.000  0.500
Br  0.000  0.500  0.000
Br  0.500  0.000  0.000

Density of states at the Fermi level   3.736 states/eV/cell
E_form (uncorrected)   -15.2 kJ per mole of atoms

[12]
Computed, not measured: a relaxed GePdF crystal at the PBE level of DFT.

Unit cell a=11.948 b=2.939 c=2.939 alpha=59.52 beta=90.00 gamma=90.00
Fractional positions:
Ge  0.183  0.000  0.000
Ge  0.817  0.000  0.000
Pd  0.000  0.668  0.668
Pd  0.500  0.980  0.980
F  0.331  0.479  0.479
F  0.669  0.479  0.479

Density of states at the Fermi level   5.541 states/eV/cell
E_form (uncorrected)   -51.2 kJ per mole of atoms

[13]
Computed, not measured: a relaxed CsDy2RuO8 crystal at the PBE level of DFT.

Unit cell a=4.686 b=4.706 c=7.891 alpha=95.90 beta=96.11 gamma=95.98
Fractional positions:
Cs  0.000  0.000  0.000
Dy  0.446  0.447  0.716
Dy  0.554  0.553  0.284
Ru  0.000  0.000  0.500
O  0.088  0.712  0.326
O  0.279  0.277  0.435
O  0.288  0.912  0.675
O  0.392  0.606  0.000
O  0.608  0.394  0.000
O  0.712  0.088  0.325
O  0.721  0.723  0.565
O  0.912  0.288  0.674

Density of states at the Fermi level   5.126 states/eV/cell
E_form (uncorrected)   -178.0 kJ per mole of atoms

[14]
Computed, not measured: a relaxed Tm2CuNi2 crystal at the PBE level of DFT.

Unit cell a=5.252 b=5.252 c=7.562 alpha=102.70 beta=102.70 gamma=59.42
Fractional positions:
Tm  0.008  0.290  0.149
Tm  0.290  0.008  0.649
Tm  0.710  0.992  0.351
Tm  0.992  0.710  0.851
Cu  0.341  0.659  0.250
Cu  0.659  0.341  0.750
Ni  0.230  0.501  0.498
Ni  0.499  0.770  0.002
Ni  0.501  0.230  0.998
Ni  0.770  0.499  0.502

Density of states at the Fermi level   6.899 states/eV/cell
Energy of formation   -432 meV/atom

[15]
Computed, not measured: a relaxed CsOF3 crystal at the PBE level of DFT.

Unit cell a=5.151 b=6.082 c=7.629 alpha=77.18 beta=86.52 gamma=79.12
Fractional positions:
Cs  0.000  0.000  0.000
Cs  0.335  0.295  0.408
O  0.720  0.670  0.598
O  0.759  0.850  0.619
F  0.425  0.795  0.294
F  0.507  0.979  0.783
F  0.689  0.635  0.199
F  0.906  0.017  0.409
F  0.955  0.479  0.101
F  0.956  0.439  0.700

Density of states at the Fermi level   0.000 states/eV/cell
E_form (uncorrected)   -116.9 kJ per mole of atoms

[16]
Computed, not measured: a relaxed AcLaNdDy3 crystal at the PBE level of DFT.

Unit cell a=10.602 b=10.602 c=7.299 alpha=90.21 beta=90.21 gamma=31.48
Fractional positions:
Ac  0.148  0.148  0.038
Ac  0.852  0.852  0.962
La  0.146  0.146  0.478
La  0.854  0.854  0.522
Nd  0.447  0.447  0.730
Nd  0.553  0.553  0.270
Dy  0.021  0.021  0.741
Dy  0.281  0.281  0.737
Dy  0.337  0.337  0.253
Dy  0.663  0.663  0.747
Dy  0.719  0.719  0.263
Dy  0.979  0.979  0.259

Density of states at the Fermi level   17.714 states/eV/cell
Energy of formation   226 meV/atom

[17]
Computed, not measured: a relaxed InGa2Si crystal at the PBE level of DFT.

Unit cell a=4.854 b=4.854 c=4.854 alpha=60.00 beta=60.00 gamma=60.00
Fractional positions:
In  0.000  0.000  0.000
Ga  0.250  0.250  0.250
Ga  0.750  0.750  0.750
Si  0.500  0.500  0.500

Density of states at the Fermi level   1.542 states/eV/cell
E_form (uncorrected)   26.1 kJ per mole of atoms

[18]
Computed, not measured: a relaxed Np4As6Rh5 crystal at the PBE level of DFT.

Unit cell a=9.742 b=9.742 c=14.796 alpha=90.00 beta=90.00 gamma=155.73
Fractional positions:
Np  0.010  0.990  0.500
Np  0.025  0.975  0.770
Np  0.166  0.834  0.306
Np  0.181  0.819  0.941
Np  0.819  0.181  0.441
Np  0.834  0.166  0.806
Np  0.975  0.025  0.270
Np  0.990  0.010  0.000
As  0.117  0.883  0.118
As  0.221  0.779  0.492
As  0.231  0.769  0.756
As  0.418  0.582  0.404
As  0.425  0.575  0.131
As  0.432  0.568  0.860
As  0.568  0.432  0.360
As  0.575  0.425  0.631
As  0.582  0.418  0.904
As  0.769  0.231  0.256
As  0.779  0.221  0.992
As  0.883  0.117  0.618
Rh  0.147  0.853  0.628
Rh  0.305  0.695  0.622
Rh  0.343  0.657  0.267
Rh  0.353  0.647  0.989
Rh  0.449  0.551  0.681
Rh  0.551  0.449  0.181
Rh  0.647  0.353  0.489
Rh  0.657  0.343  0.767
Rh  0.695  0.305  0.122
Rh  0.853  0.147  0.128

Density of states at the Fermi level   70.314 states/eV/cell
Energy of formation   -578 meV/atom

[19]
Computed, not measured: a relaxed MgCoHg2 crystal at the PBE level of DFT.

Unit cell a=6.278 b=6.278 c=6.278 alpha=151.27 beta=138.92 gamma=50.90
Fractional positions:
Mg  0.000  0.000  0.000
Co  0.190  0.690  0.500
Hg  0.387  0.387  0.000
Hg  0.682  0.182  0.500

Density of states at the Fermi level   3.708 states/eV/cell
Energy of formation   168 meV/atom

[20]
Computed, not measured: a relaxed Cs2PmCd2Se4 crystal at the PBE level of DFT.

Unit cell a=8.833 b=8.833 c=8.843 alpha=111.50 beta=111.50 gamma=28.32
Fractional positions:
Cs  0.128  0.128  0.061
Cs  0.872  0.872  0.939
Pm  0.000  0.000  0.500
Cd  0.314  0.314  0.490
Cd  0.686  0.686  0.510
Se  0.185  0.185  0.704
Se  0.474  0.474  0.712
Se  0.526  0.526  0.288
Se  0.815  0.815  0.296

Density of states at the Fermi level   3.567 states/eV/cell
E_form (uncorrected)   -107.2 kJ per mole of atoms